The following is a DFT calculation (GGA-PBE) of an optimized crystal structure of Ta4RuW.

a b c (Å): 5.333 5.333 5.333
angles (deg): 60.00 60.00 60.00
Atoms (fractional coordinates):
Ta: 0.126 0.625 0.625
Ta: 0.625 0.126 0.625
Ta: 0.625 0.625 0.625
Ta: 0.625 0.625 0.126
W: 0.250 0.250 0.250
Ru: 0.000 0.000 0.000

Calculated values
The magnetic moment comes out at 0.0 μB per formula unit. The total energy comes out at -0.40888 hartree per atom.